# AcSmAgAs

A relaxed structure of AcSmAgAs (PBE, Alexandria via LeMat-Bulk).

Properties
* M_tot: 0.0 μB/f.u.
* D(E_F): 4.09 states/eV per cell
* energy: -18.7 eV per cell
* V: 27.19 A^3/atom
* crystal system: cubic
* ΔH_f (0 K): -2.4 eV/f.u.

Lattice parameters (Å, degrees): 5.358 5.358 5.358 60.00 60.00 60.00
Fractional positions:
As 0.500 0.500 0.500
Ac 0.750 0.750 0.750
Ag 0.000 0.000 0.000
Sm 0.250 0.250 0.250



# Sm2Co3Ru

A relaxed structure of Sm2Co3Ru (PBE, Alexandria via LeMat-Bulk).

Properties
* M_tot: 2.8 μB/f.u.
* D(E_F): 8.39 states/eV per cell
* energy: -40.8 eV per cell
* V: 16.54 A^3/atom
* crystal system: monoclinic
* ΔH_f (0 K): -0.8 eV/f.u.

Lattice parameters (Å, degrees): 5.205 5.205 5.193 89.85 120.23 120.02
Fractional positions:
Sm 0.748 0.374 0.123
Sm 0.252 0.626 0.877
Co 0.500 0.500 0.500
Co 0.000 0.000 0.500
Co 0.500 0.000 0.500
Ru 0.000 0.000 0.000



# Tm4Mg9Tl11

A relaxed structure of Tm4Mg9Tl11 (PBE, Alexandria via LeMat-Bulk).

Properties
* M_tot: 0.0 μB/f.u.
* D(E_F): 13.41 states/eV per cell
* energy: -59.5 eV per cell
* V: 25.62 A^3/atom
* crystal system: orthorhombic
* ΔH_f (0 K): -1.3 eV/f.u.

Lattice parameters (Å, degrees): 3.548 13.427 13.427 105.98 90.00 90.00
Fractional positions:
Tm 0.500 0.574 0.744
Tm 0.500 0.426 0.256
Tm 0.500 0.744 0.574
Tm 0.500 0.256 0.426
Mg 0.500 0.628 0.154
Mg 0.500 0.372 0.846
Mg 0.500 0.154 0.628
Mg 0.500 0.846 0.372
Mg 0.500 0.799 0.978
Mg 0.500 0.201 0.022
Mg 0.500 0.978 0.799
Mg 0.500 0.022 0.201
Mg 0.500 0.500 0.500
Tl 0.000 0.593 0.946
Tl 0.000 0.407 0.054
Tl 0.000 0.946 0.593
Tl 0.000 0.054 0.407
Tl 0.000 0.636 0.364
Tl 0.000 0.364 0.636
Tl 0.000 0.824 0.176
Tl 0.000 0.176 0.824
Tl 0.000 0.000 0.000
Tl 0.000 0.780 0.780
Tl 0.000 0.220 0.220



# NaCoTe2I

A relaxed structure of NaCoTe2I (PBE, Alexandria via LeMat-Bulk).

Properties
* M_tot: 2.9 μB/f.u.
* energy above the lowest structure with this stoichiometry: 1.0856 eV per atom
* D(E_F): 9.08 states/eV per cell
* energy: -11.3 eV per cell
* V: 35.17 A^3/atom
* crystal system: tetragonal
* formation energy (no corrections): 994 meV per atom

Lattice parameters (Å, degrees): 5.510 5.510 5.791 90.00 90.00 90.00
Fractional positions:
I 0.000 0.000 0.500
Na 0.000 0.000 0.000
Te 0.000 0.500 0.000
Te 0.500 0.000 0.000
Co 0.500 0.500 0.500



# CsSiN2

A relaxed structure of CsSiN2 (PBE, Alexandria via LeMat-Bulk).

Properties
* M_tot: 0.0 μB/f.u.
* energy above the lowest structure with this stoichiometry: 0.0000 eV per atom
* D(E_F): 3.98 states/eV per cell
* energy: -49.5 eV per cell
* V: 16.14 A^3/atom
* crystal system: tetragonal
* formation energy (no corrections): -453 meV per atom

Lattice parameters (Å, degrees): 5.675 5.675 5.672 59.98 59.98 90.00
Fractional positions:
Cs 0.000 0.000 0.000
Cs 0.750 0.250 0.500
Si 0.500 0.500 0.000
Si 0.250 0.750 0.500
N 0.375 0.125 0.250
N 0.375 0.625 0.250
N 0.375 0.625 0.750
N 0.875 0.625 0.750



# DyYTeO6

A relaxed structure of DyYTeO6 (PBE, Alexandria via LeMat-Bulk).

Properties
* M_tot: 0.0 μB/f.u.
* D(E_F): 0.00 states/eV per cell
* energy: -132.0 eV per cell
* V: 14.06 A^3/atom
* crystal system: trigonal
* formation energy (no corrections): -2449 meV per atom

Lattice parameters (Å, degrees): 5.558 5.558 9.458 90.00 90.00 120.00
Fractional positions:
Dy 0.333 0.667 0.250
Dy 0.667 0.333 0.750
Y 0.000 0.000 0.000
Y 0.000 0.000 0.500
Te 0.667 0.333 0.250
Te 0.333 0.667 0.750
O 0.672 0.628 0.134
O 0.957 0.328 0.134
O 0.328 0.957 0.634
O 0.043 0.672 0.866
O 0.372 0.328 0.366
O 0.957 0.628 0.366
O 0.628 0.957 0.866
O 0.672 0.043 0.366
O 0.043 0.372 0.634
O 0.372 0.043 0.134
O 0.628 0.672 0.634
O 0.328 0.372 0.866



# La4YRu

A relaxed structure of La4YRu (PBE, Alexandria via LeMat-Bulk).

Properties
* M_tot: 0.0 μB/f.u.
* energy above the lowest structure with this stoichiometry: 0.7435 eV per atom
* D(E_F): 11.10 states/eV per cell
* energy: -31.5 eV per cell
* V: 30.34 A^3/atom
* crystal system: cubic
* ΔH_f (0 K): 4.0 eV/f.u.

Lattice parameters (Å, degrees): 6.361 6.361 6.361 60.00 60.00 60.00
Fractional positions:
La 0.867 0.378 0.378
La 0.378 0.378 0.867
La 0.378 0.867 0.378
La 0.378 0.378 0.378
Y 0.000 0.000 0.000
Ru 0.750 0.750 0.750



# LaSm4Sb2

A relaxed structure of LaSm4Sb2 (PBE, Alexandria via LeMat-Bulk).

Properties
* M_tot: 0.0 μB/f.u.
* D(E_F): 6.99 states/eV per cell
* energy: -31.1 eV per cell
* V: 33.89 A^3/atom
* crystal system: tetragonal
* formation energy (no corrections): 140 meV per atom

Lattice parameters (Å, degrees): 5.348 5.348 9.116 107.06 107.06 90.00
Fractional positions:
La 0.000 0.000 0.000
Sm 0.818 0.818 0.635
Sm 0.182 0.182 0.365
Sm 0.000 0.500 0.000
Sm 0.500 0.000 0.000
Sb 0.632 0.632 0.265
Sb 0.368 0.368 0.735



# CeNd2In6

A relaxed structure of CeNd2In6 (PBE, Alexandria via LeMat-Bulk).

Properties
* M_tot: 1.4 μB/f.u.
* energy above the lowest structure with this stoichiometry: 0.1445 eV per atom
* D(E_F): 11.53 states/eV per cell
* energy: -34.5 eV per cell
* V: 30.02 A^3/atom
* crystal system: orthorhombic
* ΔH_f (0 K): -2.6 eV/f.u.

Lattice parameters (Å, degrees): 4.696 8.685 8.685 53.14 74.31 74.31
Fractional positions:
Ce 0.000 0.000 0.000
Nd 0.878 0.622 0.622
Nd 0.122 0.378 0.378
In 0.688 0.006 0.617
In 0.312 0.994 0.383
In 0.312 0.383 0.994
In 0.500 0.693 0.307
In 0.500 0.307 0.693
In 0.688 0.617 0.006



# HfMgSN2

A relaxed structure of HfMgSN2 (PBE, Alexandria via LeMat-Bulk).

Properties
* M_tot: 0.4 μB/f.u.
* energy above the lowest structure with this stoichiometry: 0.0000 eV per atom
* D(E_F): 2.30 states/eV per cell
* energy: -33.4 eV per cell
* V: 17.42 A^3/atom
* crystal system: tetragonal
* formation energy (no corrections): -209 meV per atom

Lattice parameters (Å, degrees): 4.049 4.049 5.312 90.00 90.00 90.00
Fractional positions:
S 0.000 0.000 0.500
Hf 0.000 0.000 0.000
Mg 0.500 0.500 0.500
N 0.000 0.500 0.000
N 0.500 0.000 0.000



# BaZn2Cu

A relaxed structure of BaZn2Cu (PBE, Alexandria via LeMat-Bulk).

Properties
* M_tot: 0.0 μB/f.u.
* D(E_F): 2.41 states/eV per cell
* energy: -9.2 eV per cell
* V: 24.30 A^3/atom
* crystal system: monoclinic
* ΔH_f (0 K): -0.7 eV/f.u.

Lattice parameters (Å, degrees): 4.399 4.399 6.330 69.78 69.78 59.94
Fractional positions:
Zn 0.992 0.992 0.024
Zn 0.691 0.691 0.926
Ba 0.503 0.503 0.493
Cu 0.314 0.314 0.057



# BeHgSb3

A relaxed structure of BeHgSb3 (PBE, Alexandria via LeMat-Bulk).

Properties
* M_tot: 0.0 μB/f.u.
* energy above the lowest structure with this stoichiometry: 0.8889 eV per atom
* D(E_F): 8.36 states/eV per cell
* energy: -9.6 eV per cell
* V: 34.29 A^3/atom
* crystal system: cubic
* formation energy (no corrections): 1354 meV per atom

Lattice parameters (Å, degrees): 5.555 5.555 5.555 90.00 90.00 90.00
Fractional positions:
Sb 0.000 0.500 0.000
Sb 0.000 0.000 0.500
Sb 0.500 0.000 0.000
Hg 0.000 0.000 0.000
Be 0.500 0.500 0.500



What did the fourth record say?
# NaCoTe2I

A relaxed structure of NaCoTe2I (PBE, Alexandria via LeMat-Bulk).

Properties
* M_tot: 2.9 μB/f.u.
* energy above the lowest structure with this stoichiometry: 1.0856 eV per atom
* D(E_F): 9.08 states/eV per cell
* energy: -11.3 eV per cell
* V: 35.17 A^3/atom
* crystal system: tetragonal
* formation energy (no corrections): 994 meV per atom

Lattice parameters (Å, degrees): 5.510 5.510 5.791 90.00 90.00 90.00
Fractional positions:
I 0.000 0.000 0.500
Na 0.000 0.000 0.000
Te 0.000 0.500 0.000
Te 0.500 0.000 0.000
Co 0.500 0.500 0.500